Entry 1:
{"formula": "K2CdHgCl6", "functional": "PBE-GGA", "state": "optimized geometry", "lattice_angstrom": [[7.3691, 0.0000, 0.0000], [3.6412, 6.4212, 0.0000], [3.6270, 2.1270, 6.0709]], "species": ["K", "K", "Cd", "Hg", "Cl", "Cl", "Cl", "Cl", "Cl", "Cl"], "fractional_positions": [[0.0000, 0.0000, 0.0000], [0.4988, 0.4982, 0.4992], [0.7323, 0.7321, 0.7321], [0.2326, 0.2332, 0.2328], [0.0569, 0.8951, 0.4706], [0.4001, 0.5624, 0.9626], [0.4708, 0.0564, 0.8944], [0.5621, 0.9641, 0.3983], [0.8955, 0.4693, 0.0586], [0.9638, 0.4003, 0.5630]], "m_tot_mub_per_cell": 0.00, "space_group": "P1, No. 1", "raw_formation_energy_ev_per_atom": -1.276, "e_tot_ev_per_cell": -27.25}

---

Entry 2:
{"formula": "MnCdHgCl6", "functional": "PBE-GGA", "state": "optimized geometry", "lattice_angstrom": [[6.5885, 0.0000, 0.0000], [-3.2943, 5.7058, 0.0000], [0.0000, 0.0000, 11.9061]], "species": ["Mn", "Mn", "Cd", "Cd", "Hg", "Hg", "Cl", "Cl", "Cl", "Cl", "Cl", "Cl", "Cl", "Cl", "Cl", "Cl", "Cl", "Cl"], "fractional_positions": [[0.3333, 0.6667, 0.2500], [0.6667, 0.3333, 0.7500], [0.3333, 0.6667, 0.7500], [0.6667, 0.3333, 0.2500], [0.0000, 0.0000, 0.0000], [0.0000, 0.0000, 0.5000], [0.0156, 0.3551, 0.1286], [0.0156, 0.6605, 0.3714], [0.3395, 0.3551, 0.3714], [0.3395, 0.9844, 0.1286], [0.3551, 0.0156, 0.6286], [0.3551, 0.3395, 0.8714], [0.6449, 0.6605, 0.1286], [0.6449, 0.9844, 0.3714], [0.6605, 0.0156, 0.8714], [0.6605, 0.6449, 0.6286], [0.9844, 0.3395, 0.6286], [0.9844, 0.6449, 0.8714]], "m_tot_mub_per_cell": 10.00, "space_group": "P-31c, No. 163", "raw_formation_energy_ev_per_atom": -0.872, "e_tot_ev_per_cell": -58.62}